# PaTePdPt PBE optimized geometry
# ΔE_f (raw) in eV/f.u.: -2.4
# Final energy in eV for the cell shown: -105.09
# Magnetization in μB/atom: 0.000
data_PaTePdPt
_chemical_formula_sum 'Pa4 Te4 Pd4 Pt4'
_cell_length_a 6.934
_cell_length_b 6.934
_cell_length_c 6.934
_cell_angle_alpha 90.00
_cell_angle_beta 90.00
_cell_angle_gamma 90.00
_space_group_name_H-M_alt 'F -4 3 m'
_space_group_IT_number 216
_space_group_name_Hall 'F -4 2 3'
loop_
_atom_site_label
_atom_site_type_symbol
_atom_site_fract_x
_atom_site_fract_y
_atom_site_fract_z
_atom_site_occupancy
Pa1 Pa 0.000 0.000 0.000 1
Te1 Te 0.000 0.000 0.500 1
Pd1 Pd 0.250 0.250 0.250 1
Pt1 Pt 0.250 0.250 0.750 1